Entry from Alexandria: a geometry-optimized Li3MnCoO5 structure (GGA+U).

a = 10.406 Å, b = 10.406 Å, c = 5.848 Å
α = 82.93°, β = 82.93°, γ = 15.94°
Site moments in Bohr magnetons follow the coordinates.
Fractional coordinates of all 20 atoms:
Li (0.205, 0.205, 0.896)  -0.01
Li (0.396, 0.396, 0.310)  0.00
Li (0.613, 0.613, 0.685)  0.00
Li (0.794, 0.794, 0.119)  0.00
Li (0.998, 0.998, 0.500)  0.00
Li (0.204, 0.204, 0.403)  0.00
Mn (0.997, 0.997, 0.995)  3.66
Mn (0.603, 0.603, 0.204)  -3.04
Co (0.398, 0.398, 0.796)  0.01
Co (0.798, 0.798, 0.599)  0.25
O (0.301, 0.301, 0.378)  0.01
O (0.495, 0.495, 0.758)  -0.03
O (0.691, 0.691, 0.149)  0.00
O (0.895, 0.895, 0.579)  0.00
O (0.094, 0.094, 0.973)  0.00
O (0.099, 0.099, 0.423)  0.07
O (0.305, 0.305, 0.824)  0.00
O (0.502, 0.502, 0.235)  -0.01
O (0.708, 0.708, 0.650)  0.25
O (0.904, 0.904, 0.022)  -0.06

Properties
As for the total energy: -5.8954 eV per atom. Its space group is Cm, No. 8.